# 1
Density functional theory data (GGA-PBE) for a geometry-optimized LiLaScRu structure.

Computed properties:
* DOS at the Fermi energy: 0.71 states/eV/atom
* electronic total energy: -5.80 eV/atom
* crystal system: cubic
* energy of formation from the pure elements: -187 meV per atom
* space-group type: F-43m

Cell: 4.894 4.894 4.894 Å, 60.00 60.00 60.00°
Sites, in units of the cell vectors:
Sc1 0.000 0.000 0.000
Ru1 0.250 0.250 0.250
Li1 0.750 0.750 0.750
La1 0.500 0.500 0.500

# 2
Density functional theory data (GGA-PBE) for a geometry-optimized Tb3Sb structure.

Computed properties:
* DOS at the Fermi energy: 1.43 states/eV/atom
* electronic total energy: -5.09 eV/atom
* crystal system: tetragonal
* energy relative to the elements, uncorrected: -589.3 meV per atom
* space-group type: P4_2/n
* energy above the lowest structure with this stoichiometry: 0 meV per atom

Cell: 6.174 12.457 12.457 Å, 90.00 90.00 90.00°
Sites, in units of the cell vectors:
Tb1 0.966 0.891 0.417
Tb2 0.782 0.531 0.357
Tb3 0.014 0.285 0.826
Sb1 0.288 0.543 0.300
Tb4 0.718 0.031 0.857
Tb5 0.782 0.469 0.643
Tb6 0.014 0.715 0.174
Sb2 0.212 0.957 0.200
Tb7 0.466 0.083 0.391
Tb8 0.986 0.174 0.285
Tb9 0.034 0.583 0.891
Tb10 0.282 0.143 0.031
Sb3 0.712 0.700 0.543
Tb11 0.486 0.215 0.674
Sb4 0.712 0.300 0.457
Tb12 0.718 0.969 0.143
Tb13 0.514 0.326 0.215
Tb14 0.486 0.785 0.326
Tb15 0.986 0.826 0.715
Tb16 0.466 0.917 0.609
Tb17 0.282 0.857 0.969
Tb18 0.966 0.109 0.583
Tb19 0.218 0.643 0.531
Sb5 0.288 0.457 0.700
Sb6 0.788 0.200 0.043
Tb20 0.534 0.609 0.083
Sb7 0.788 0.800 0.957
Sb8 0.212 0.043 0.800
Tb21 0.218 0.357 0.469
Tb22 0.034 0.417 0.109
Tb23 0.514 0.674 0.785
Tb24 0.534 0.391 0.917

# 3
Density functional theory data (GGA-PBE) for a geometry-optimized TcP2Os structure.

Computed properties:
* DOS at the Fermi energy: 0.82 states/eV/atom
* electronic total energy: -7.74 eV/atom
* crystal system: orthorhombic
* energy of formation from the pure elements: 363 meV per atom
* space-group type: Cmm2
* energy above the lowest structure with this stoichiometry: 668 meV per atom

Cell: 2.784 2.784 9.407 Å, 90.00 90.00 116.81°
Sites, in units of the cell vectors:
P1 0.000 0.000 0.947
Os1 0.500 0.500 0.752
P2 0.500 0.500 0.304
Tc1 0.000 0.000 0.497

# 4
Density functional theory data (GGA-PBE) for a geometry-optimized LiPr3Te4 structure.

Computed properties:
* DOS at the Fermi energy: 0.54 states/eV/atom
* electronic total energy: -4.81 eV/atom
* crystal system: orthorhombic
* energy relative to the elements, uncorrected: -1207.8 meV per atom
* space-group type: Pmn2_1
* energy above the lowest structure with this stoichiometry: 180 meV per atom

Cell: 6.342 9.165 10.637 Å, 90.00 90.00 90.00°
Sites, in units of the cell vectors:
Te1 0.572 0.678 0.729
Te2 0.072 0.322 0.229
Pr1 0.572 0.818 0.000
Te3 0.565 0.159 0.000
Te4 0.072 0.845 0.000
Pr2 0.572 0.336 0.252
Li1 0.520 0.840 0.500
Pr3 0.572 0.336 0.748
Te5 0.065 0.841 0.500
Pr4 0.072 0.664 0.248
Te6 0.072 0.322 0.771
Te7 0.572 0.155 0.500
Pr5 0.072 0.664 0.752
Te8 0.572 0.678 0.271
Pr6 0.072 0.182 0.500
Li2 0.020 0.160 0.000

What is the DOS at the Fermi energy in the third record?
0.82 states/eV/atom